No. 1
Cs2RbAgBr (PBE, relaxed); E_form (uncorrected) = -0.5384 eV/atom; raw total energy = -1.9782 eV/atom; D(E_F) = 3.2 states/eV/cell; spin magnetization = 0.000 Bohr magnetons per cell
1.0
6.983 0.000 0.000
0.000 6.983 0.000
0.000 0.000 6.600
Cs Rb Ag Br
2 1 1 1
direct
0.000 0.500 0.000
0.500 0.000 0.000
0.000 0.000 0.500
0.500 0.500 0.500
0.000 0.000 0.000

=====

No. 2
MnCrSbAu2 (PBE, relaxed); E_form (uncorrected) = 0.7915 eV/atom; raw total energy = -5.1025 eV/atom; D(E_F) = 3.1 states/eV/cell; spin magnetization = 7.905 Bohr magnetons per cell
1.0
4.996 0.000 0.000
0.000 4.996 0.000
0.000 0.000 4.919
Mn Cr Sb Au
1 1 1 2
direct
0.000 0.000 0.000
0.500 0.500 0.500
0.500 0.500 0.000
0.000 0.500 0.500
0.500 0.000 0.500